Record 1
This record from the Alexandria database describes an optimized crystal structure of AcMgGe2Os. The functional is GGA-PBE.

```
AcMgGe2Os
1.0
4.2878 0.0000 0.0000
0.0000 4.2878 0.0000
-2.1439 -2.1439 5.7571
Os Ac Ge Mg
1 1 2 1
direct
0.7500 0.2500 0.5000
0.0000 0.0000 0.0000
0.6242 0.6242 0.2484
0.3758 0.3758 0.7516
0.2500 0.7500 0.5000
```

Values from the calculation:
* ΔE_f: -335 meV per atom
* space-group type: No. 119
* E: -5.57 eV per atom
* spin magnetization: 0.0 μB per formula unit

Record 2
This record from the Alexandria database describes an optimized crystal structure of AcMgGePb. The functional is GGA-PBE.

```
AcMgGePb
1.0
-0.5736 4.9787 -2.0800
-3.6373 0.8980 -3.9252
-4.4746 2.8823 1.0553
Ac Ge Mg Pb
1 1 1 1
direct
0.7500 0.7500 0.7500
0.0000 0.0000 0.0000
0.2500 0.2500 0.2500
0.5000 0.5000 0.5000
```

Values from the calculation:
* ΔE_f: -244 meV per atom
* space-group type: No. 216
* E: -3.75 eV per atom
* spin magnetization: 0.0 μB per formula unit

Record 3
This record from the Alexandria database describes an optimized crystal structure of Ac2Mg3Ge4Pd. The functional is GGA-PBE.

```
Ac2Mg3Ge4Pd
1.0
4.6118 0.0000 0.0000
0.0000 4.6118 0.0000
0.0000 0.0000 10.7490
Mg Ge Ac Pd
3 4 2 1
direct
0.0000 0.5000 0.1273
0.5000 0.0000 0.8727
0.0000 0.0000 0.5000
0.0000 0.5000 0.3708
0.5000 0.0000 0.6292
0.0000 0.0000 0.0000
0.5000 0.5000 0.0000
0.0000 0.5000 0.7463
0.5000 0.0000 0.2537
0.5000 0.5000 0.5000
```

Values from the calculation:
* ΔE_f: -538 meV per atom
* space-group type: No. 115
* E: -4.20 eV per atom
* spin magnetization: 0.0 μB per formula unit

Record 4
This record from the Alexandria database describes an optimized crystal structure of AcMgGePd. The functional is GGA-PBE.

```
AcMgGePd
1.0
5.1209 0.0000 0.0000
2.5605 4.4349 0.0000
2.5605 1.4783 4.1812
Ac Ge Pd Mg
1 1 1 1
direct
0.0000 0.0000 0.0000
0.7500 0.7500 0.7500
0.2500 0.2500 0.2500
0.5000 0.5000 0.5000
```

Values from the calculation:
* ΔE_f: -506 meV per atom
* space-group type: No. 216
* E: -4.38 eV per atom
* E above lowest polymorph: 118 meV per atom
* spin magnetization: 0.0 μB per formula unit

Record 5
This record from the Alexandria database describes an optimized crystal structure of Ac2MgGePd6. The functional is GGA-PBE.

```
Ac2MgGePd6
1.0
-5.5620 -0.9742 -0.5958
1.7215 -7.0898 -4.4922
-1.8551 -6.6499 1.1094
Pd Ge Mg Ac
6 1 1 2
direct
0.2490 0.7404 0.9983
0.7510 0.2596 0.0017
0.2484 0.0995 0.5021
0.2484 0.2596 0.0010
0.7516 0.9005 0.4979
0.7516 0.7404 0.9990
0.5000 0.5000 0.0000
0.0000 0.0000 0.0000
0.2518 0.7200 0.4967
0.7482 0.2800 0.5033
```

Values from the calculation:
* ΔE_f: -690 meV per atom
* space-group type: No. 12
* E: -5.25 eV per atom
* spin magnetization: 0.0 μB per formula unit

Record 6
This record from the Alexandria database describes an optimized crystal structure of AcMg2Ge2Pd2. The functional is GGA-PBE.

```
AcMg2Ge2Pd2
1.0
4.4400 0.0000 0.0000
2.2200 3.8451 0.0000
2.2200 1.2817 8.4632
Pd Ge Mg Ac
2 2 2 1
direct
0.4325 0.4325 0.7026
0.5675 0.5675 0.2974
0.7487 0.7487 0.7538
0.2513 0.2513 0.2462
0.8619 0.8619 0.4144
0.1381 0.1381 0.5856
0.0000 0.0000 0.0000
```

Values from the calculation:
* ΔE_f: -688 meV per atom
* space-group type: No. 166
* E: -4.53 eV per atom
* spin magnetization: 0.0 μB per formula unit

ΔE_f of number 4 (AcMgGePd)? -506 meV per atom

Number 6 is which compound? AcMg2Ge2Pd2